# 1
DFT (PBE-GGA) results for a relaxed structure of CsThTeSe.

Summary:
As for the crystal system: trigonal. For the total DFT energy (no corrections), the calculation gives -0.370 Ry/atom. As for the raw formation energy: -1.31 eV/atom. As for the density of states at the Fermi level: 3.02 states/eV/f.u.

The structure in CIF format:
```
data_CsThTeSe
_chemical_formula_sum 'Cs3 Th3 Te3 Se3'
_space_group_name_H-M_alt 'R 3 m'
_space_group_IT_number 160
_space_group_name_Hall 'R 3 -2"'
_cell_length_a 4.3677
_cell_length_b 4.3677
_cell_length_c 27.2162
_cell_angle_alpha 90.00
_cell_angle_beta 90.00
_cell_angle_gamma 120.00
loop_
_atom_site_label
_atom_site_fract_x
_atom_site_fract_y
_atom_site_fract_z
Cs1 0.0000 0.0000 0.0000
Th1 0.0000 0.0000 0.1617
Te1 0.0000 0.0000 0.5660
Se1 0.0000 0.0000 0.7673
```

***

# 2
DFT (PBE-GGA) results for a relaxed structure of Ac4OsPdCl2.

Summary:
As for the crystal system: monoclinic. For the total DFT energy (no corrections), the calculation gives -0.414 Ry/atom. As for the raw formation energy: -1.06 eV/atom. As for the density of states at the Fermi level: 2.08 states/eV/f.u.

The structure in CIF format:
```
data_Ac4OsPdCl2
_chemical_formula_sum 'Ac4 Os1 Pd1 Cl2'
_space_group_name_H-M_alt 'P 1 2/m 1'
_space_group_IT_number 10
_cell_length_a 7.535
_cell_length_b 4.369
_cell_length_c 8.368
_cell_angle_alpha 90.00
_cell_angle_beta 107.15
_cell_angle_gamma 90.00
loop_
_space_group_symop_operation_xyz
'x,y,z'
'-x,-y,-z'
'-x,y,-z'
'x,-y,z'
loop_
_atom_site_label
_atom_site_fract_x
_atom_site_fract_y
_atom_site_fract_z
Ac1 0.223 0.000 0.206
Ac2 0.254 0.500 0.796
Os1 0.000 0.500 0.000
Pd1 0.500 0.000 0.000
Cl1 0.000 0.000 0.500
Cl2 0.500 0.500 0.500
```